Density functional theory data (GGA-PBE) for a relaxed Sm7In crystal.

Properties
Formation energy from the elements = -1.7 kcal/mol of atoms
Calculated volume = 31.95 Å³ per atom

Unit cell a=10.0741 b=10.0741 c=10.0741 alpha=90.00 beta=90.00 gamma=90.00
Last column: nearest neighbours and their distance in Å.
Space group Fm-3m (No. 225)
Unique sites:
1 Sm 0.0000 0.0000 0.0000  12 Sm 3.56
2 Sm 0.0000 0.2500 0.2500  2 In 3.56, 10 Sm 3.56
3 In 0.0000 0.0000 0.5000  12 Sm 3.56